Crystalline LiZrBr2 at its relaxed geometry, computed with PBE-GGA.

Properties
* formation energy from raw total energies: -0.627 eV/atom
* space-group type: P4/mmm (123)
* volume: 82 Å³/cell
* E_tot: -16.32 eV for the cell shown

Unit cell a=3.453 b=3.453 c=6.864 alpha=90.00 beta=90.00 gamma=90.00
Atoms (fractional coordinates):
Li 0.000 0.000 0.000
Zr 0.000 0.000 0.500
Br 0.500 0.500 0.259
Br 0.500 0.500 0.741